[1]
{
  "formula": "Te2PbW",
  "functional": "PBE",
  "state": "relaxed",
  "space_group": "No. 166",
  "e_form_raw_ev_per_atom": 0.77,
  "density_g_cm3": 9.9,
  "dos_at_fermi_per_ev_cell": 4.1,
  "cell": [[1.564, 0.903, 12.736], [-1.564, 0.903, 12.736], [0.000, -1.806, 12.736]],
  "species": ["Te", "Te", "Pb", "W"],
  "fractional_positions": [[0.072, 0.072, 0.072], [0.928, 0.928, 0.928], [0.500, 0.500, 0.500], [0.000, 0.000, 0.000]]
}

[2]
{
  "formula": "TePbW",
  "functional": "PBE",
  "state": "relaxed",
  "space_group": "No. 216",
  "de_polymorph_mev_per_atom": 488,
  "e_form_raw_ev_per_atom": 0.90,
  "density_g_cm3": 11.0,
  "dos_at_fermi_per_ev_cell": 2.2,
  "cell": [[0.000, 3.395, 3.395], [3.395, 0.000, 3.395], [3.395, 3.395, 0.000]],
  "species": ["Te", "Pb", "W"],
  "fractional_positions": [[0.000, 0.000, 0.000], [0.500, 0.500, 0.500], [0.750, 0.750, 0.750]]
}

[3]
{
  "formula": "Te2PbW",
  "functional": "PBE",
  "state": "relaxed",
  "space_group": "No. 6",
  "e_form_raw_ev_per_atom": 0.58,
  "density_g_cm3": 10.2,
  "dos_at_fermi_per_ev_cell": 4.1,
  "cell": [[3.234, 0.000, 0.000], [0.000, 4.273, 0.000], [-0.080, 0.000, 7.637]],
  "species": ["Te", "Te", "Pb", "W"],
  "fractional_positions": [[0.000, 0.000, 0.000], [0.498, 0.500, 0.738], [0.400, 0.500, 0.333], [0.996, 0.000, 0.624]]
}